A relaxed structure of KZnFe, computed with GGA-PBE.

POSCAR file:
```
KZnFe
1.0
-1.719 1.719 6.123
1.719 -1.719 6.123
1.719 1.719 -6.123
K Zn Fe
1 1 1
direct
0.000 0.000 0.000 K
0.728 0.728 0.000 Zn
0.270 0.270 0.000 Fe
```

Computed properties:
N(E_F): 5.00 states/eV/cell
Energy: -3.0341 eV per atom
Spin magnetization: 2.459 μB/f.u.
Density: 3.7 Mg/m³
Formation energy from the elements: 0.58 eV/atom
Space-group type: I4mm, No. 107

---

A relaxed structure of Fe2AgBr, computed with GGA-PBE.

POSCAR file:
```
Fe2AgBr
1.0
3.414 0.000 0.000
0.000 3.414 0.000
0.000 0.000 6.234
Fe Ag Br
2 1 1
direct
0.000 0.000 0.189 Fe
0.000 0.000 0.811 Fe
0.500 0.500 0.000 Ag
0.500 0.500 0.500 Br
```

Computed properties:
N(E_F): 3.94 states/eV/cell
Energy: -4.7761 eV per atom
Spin magnetization: 6.106 μB/f.u.
Density: 6.8 Mg/m³
Formation energy from raw total energies: 0.59 eV/atom
Space-group type: P4/mmm, No. 123

---

A relaxed structure of VAs2OsSe, computed with GGA-PBE.

POSCAR file:
```
VAs2OsSe
1.0
4.684 0.000 0.000
0.000 4.684 0.000
0.000 0.000 4.635
V As Os Se
1 2 1 1
direct
0.000 0.000 0.000 V
0.000 0.500 0.000 As
0.500 0.000 0.000 As
0.500 0.500 0.500 Os
0.000 0.000 0.500 Se
```

Computed properties:
N(E_F): 4.33 states/eV/cell
Energy: -5.5312 eV per atom
Spin magnetization: 2.325 μB/f.u.
Density: 7.7 Mg/m³
Formation energy from raw total energies: 1.10 eV/atom
Space-group type: P4/mmm, No. 123

---

A relaxed structure of RbNa2LiNb, computed with GGA-PBE.

POSCAR file:
```
RbNa2LiNb
1.0
5.650 0.000 0.000
0.000 5.650 0.000
0.000 0.000 6.145
Rb Na Li Nb
1 2 1 1
direct
0.000 0.000 0.000 Rb
0.000 0.500 0.500 Na
0.500 0.000 0.500 Na
0.000 0.000 0.500 Li
0.500 0.500 0.000 Nb
```

Computed properties:
N(E_F): 4.50 states/eV/cell
Energy: -1.9295 eV per atom
Spin magnetization: 4.732 μB/f.u.
Density: 2.0 Mg/m³
Formation energy from the elements: 1.19 eV/atom
Space-group type: P4/mmm, No. 123

---

A relaxed structure of Zn13Co, computed with GGA-PBE.

POSCAR file:
```
Zn13Co
1.0
5.371 -3.757 0.000
5.371 3.757 0.000
-0.992 0.000 5.030
Zn Co
13 1
direct
0.000 0.000 0.000 Zn
0.004 0.643 0.201 Zn
0.220 0.626 0.680 Zn
0.222 0.222 0.371 Zn
0.357 0.996 0.799 Zn
0.374 0.780 0.320 Zn
0.386 0.386 0.066 Zn
0.614 0.614 0.934 Zn
0.626 0.220 0.680 Zn
0.643 0.004 0.201 Zn
0.778 0.778 0.629 Zn
0.780 0.374 0.320 Zn
0.996 0.357 0.799 Zn
0.000 0.000 0.500 Co
```

Computed properties:
N(E_F): 6.12 states/eV/cell
Energy: -1.7333 eV per atom
Spin magnetization: 0.001 μB/f.u.
Density: 7.4 Mg/m³
Formation energy from the elements: -0.04 eV/atom
Space-group type: C2/m, No. 12

---

A relaxed structure of GeTeF2, computed with GGA-PBE.

POSCAR file:
```
GeTeF2
1.0
1.598 0.923 8.420
-1.598 0.923 8.420
0.000 -1.846 8.420
Ge Te F
1 1 2
direct
0.000 0.000 0.000 Ge
0.500 0.500 0.500 Te
0.415 0.415 0.415 F
0.585 0.585 0.585 F
```

Computed properties:
N(E_F): 1.19 states/eV/cell
Energy: -3.8388 eV per atom
Spin magnetization: 0.000 μB/f.u.
Density: 5.3 Mg/m³
Formation energy from raw total energies: -0.96 eV/atom
Space-group type: R-3m, No. 166